This record from Alexandria via LeMat-Bulk describes NaCd3Pd after structural relaxation. The functional is GGA-PBE.

Computed properties:
Energy of formation: 0.772 eV/atom

POSCAR file:
```
NaCd3Pd
1.0
-3.321 1.198 3.862
2.909 -2.764 3.359
2.809 4.279 1.088
Na Pd Cd
1 1 3
Cartesian
0.000 0.000 0.000
1.198 1.357 4.155
1.454 -1.382 1.680
1.404 2.139 0.544
-1.661 0.599 1.931
```